This record from Alexandria via LeMat-Bulk describes La3TiO6 after structural relaxation. The functional is PBE-GGA.

Density of states at the Fermi level = 14.45 states/eV/cell
Formation energy from raw total energies = -3.289 eV/atom

Cell: 9.499 11.759 5.800 Å, 90.00 90.00 90.00°
Space group Cmc2_1 (No. 36)
Unique sites:
La  0.000  0.104  0.000 (multiplicity 4)
La  0.191  0.399  0.964 (multiplicity 8)
Ti  0.000  0.311  0.430 (multiplicity 4)
O  0.000  0.283  0.748 (multiplicity 4)
O  0.000  0.462  0.306 (multiplicity 4)
O  0.148  0.243  0.270 (multiplicity 8)
O  0.156  0.012  0.729 (multiplicity 8)